# 1
Entry from the Alexandria database: a geometry-optimized YNpPb2O8 structure (GGA-PBE).

Calculated values
Final energy, eV/atom: -7.603
Uncorrected formation energy, eV/atom: -2.0622
Space-group type: Cmmm, No. 65

a b c (Å): 5.1879 5.1868 6.9473
angles (deg): 90.00 90.00 90.54
Closest atoms and distances in Å follow each position.
Element x y z (fractional)
Y 0.0000 0.0000 0.5000  6 O 2.25-2.32
Np 0.0000 0.0000 0.0000  6 O 2.05-2.14
Pb 0.5000 0.5000 0.7487  6 O 2.22-2.37
Pb 0.5000 0.5000 0.2513  6 O 2.22-2.37
O 0.1791 0.8205 0.2251  1 Np 2.05
O 0.7070 0.7073 0.0000  1 Np 2.14, 2 Pb 2.31
O 0.8209 0.1795 0.2251  1 Np 2.05
O 0.8209 0.1795 0.7749  1 Np 2.05
O 0.2930 0.2927 0.0000  1 Np 2.14, 2 Pb 2.31
O 0.1791 0.8205 0.7749  1 Np 2.05
O 0.6915 0.6921 0.5000  2 Pb 2.22, 1 Y 2.25
O 0.3085 0.3079 0.5000  2 Pb 2.22, 1 Y 2.25

=====

# 2
Entry from the Alexandria database: a geometry-optimized NpZn2PbO6 structure (GGA-PBE).

Calculated values
Final energy, eV/atom: -6.736
Uncorrected formation energy, eV/atom: -1.8415
Space-group type: P1, No. 1

a b c (Å): 5.8093 5.7064 6.4219
angles (deg): 61.14 56.30 56.87
Closest atoms and distances in Å follow each position.
Element x y z (fractional)
Np 0.3168 0.3187 0.0422  4 O 2.00-2.05
Zn 0.5140 0.5183 0.3766  4 O 1.99-2.16
Zn 0.0033 0.0933 0.9061  4 O 1.97-2.08
Pb 0.7938 0.8192 0.5659  6 O 2.45-2.67
O 0.6135 0.2299 0.2206  2 Zn 1.99-2.08
O 0.2743 0.9260 0.2421  1 Zn 1.99, 1 Np 2.05
O 0.9052 0.5158 0.2865  1 Zn 2.00, 1 Np 2.01
O 0.3347 0.7209 0.8428  1 Zn 1.97, 1 Np 2.05
O 0.7234 0.1332 0.7884  1 Np 2.00, 1 Zn 2.01
O 0.1826 0.3863 0.7439  2 Zn 2.00-2.16

=====

# 3
Entry from the Alexandria database: a geometry-optimized NpZnPb2O8 structure (GGA-PBE).

Calculated values
Final energy, eV/atom: -6.631
Uncorrected formation energy, eV/atom: -1.5225
Space-group type: P2/m, No. 10

a b c (Å): 5.0761 5.0685 6.5973
angles (deg): 89.95 90.05 90.76
Closest atoms and distances in Å follow each position.
Element x y z (fractional)
Np 0.0000 0.0000 0.0000  6 O 2.03-2.17
Zn 0.0000 0.0000 0.5000  6 O 2.10-2.22
Pb 0.4996 0.5004 0.7423  6 O 2.17-2.28
Pb 0.5004 0.4996 0.2577  6 O 2.17-2.28
O 0.1839 0.8139 0.2316  1 Np 2.03, 1 Zn 2.22
O 0.6945 0.6972 0.0000  1 Np 2.17, 2 Pb 2.20
O 0.8165 0.1857 0.2323  1 Np 2.03, 1 Zn 2.21
O 0.8161 0.1861 0.7684  1 Np 2.03, 1 Zn 2.22
O 0.3055 0.3028 0.0000  1 Np 2.17, 2 Pb 2.20
O 0.1835 0.8143 0.7677  1 Np 2.03, 1 Zn 2.21
O 0.7049 0.7068 0.5000  1 Zn 2.10, 2 Pb 2.17
O 0.2951 0.2932 0.5000  1 Zn 2.10, 2 Pb 2.17

=====

# 4
Entry from the Alexandria database: a geometry-optimized ZrNpPbO6 structure (GGA-PBE).

Calculated values
Final energy, eV/atom: -8.699
Uncorrected formation energy, eV/atom: -2.5934
Space-group type: P-31c, No. 163

a b c (Å): 5.6919 5.6919 10.4723
angles (deg): 90.00 90.00 120.00
Closest atoms and distances in Å follow each position.
Element x y z (fractional)
Zr 0.3333 0.6667 0.2500  6 O 2.13
Zr 0.6667 0.3333 0.7500  6 O 2.13
Np 0.6667 0.3333 0.2500  6 O 2.08
Np 0.3333 0.6667 0.7500  6 O 2.08
Pb 0.0000 0.0000 0.0000  6 O 2.61
Pb 0.0000 0.0000 0.5000  6 O 2.61
O 0.6320 0.6253 0.1454  1 Np 2.08, 1 Zr 2.13
O 0.9933 0.3680 0.1454  1 Np 2.08, 1 Zr 2.13
O 0.3680 0.9933 0.6454  1 Np 2.08, 1 Zr 2.13
O 0.0067 0.6320 0.8546  1 Np 2.08, 1 Zr 2.13
O 0.3747 0.3680 0.3546  1 Np 2.08, 1 Zr 2.13
O 0.9933 0.6253 0.3546  1 Np 2.08, 1 Zr 2.13
O 0.6253 0.9933 0.8546  1 Np 2.08, 1 Zr 2.13
O 0.6320 0.0067 0.3546  1 Np 2.08, 1 Zr 2.13
O 0.0067 0.3747 0.6454  1 Np 2.08, 1 Zr 2.13
O 0.3747 0.0067 0.1454  1 Np 2.08, 1 Zr 2.13
O 0.6253 0.6320 0.6454  1 Np 2.08, 1 Zr 2.13
O 0.3680 0.3747 0.8546  1 Np 2.08, 1 Zr 2.13

=====

# 5
Entry from the Alexandria database: a geometry-optimized NpPd2O6 structure (GGA-PBE).

Calculated values
Final energy, eV/atom: -7.236
Uncorrected formation energy, eV/atom: -1.3392
Space-group type: P321, No. 150

a b c (Å): 4.7407 9.0729 9.0731
angles (deg): 120.02 90.00 90.00
Closest atoms and distances in Å follow each position.
Element x y z (fractional)
Np 0.4860 0.3334 0.6667  6 O 2.08-2.09
Np 0.0000 0.9999 0.9999  6 O 2.08
Np 0.5140 0.6667 0.3334  6 O 2.08-2.09
Pd 0.0000 0.6542 0.6542  6 O 2.09-2.16
Pd 0.5000 0.3215 0.3215  6 O 2.08-2.13
Pd 0.0000 0.0000 0.3457  6 O 2.09-2.16
Pd 0.4999 0.6785 0.0001  6 O 2.07-2.13
Pd 0.5001 0.0001 0.6785  6 O 2.07-2.13
Pd 0.0000 0.3457 0.0000  6 O 2.09-2.16
O 0.2373 0.7775 0.8820  1 Np 2.08, 2 Pd 2.11-2.12
O 0.7259 0.5547 0.7743  2 Pd 2.07-2.16, 1 Np 2.08
O 0.2456 0.4334 0.5447  1 Np 2.09, 2 Pd 2.09-2.13
O 0.2455 0.4553 0.8889  1 Np 2.09, 2 Pd 2.09-2.13
O 0.7261 0.2195 0.4453  2 Pd 2.08-2.16, 1 Np 2.08
O 0.2374 0.1044 0.2223  1 Np 2.08, 2 Pd 2.11-2.12
O 0.7261 0.2259 0.7805  2 Pd 2.07-2.16, 1 Np 2.08
O 0.7627 0.8955 0.1179  1 Np 2.08, 2 Pd 2.11-2.12
O 0.2455 0.1113 0.5665  1 Np 2.09, 2 Pd 2.09-2.13
O 0.2373 0.1179 0.8955  1 Np 2.08, 2 Pd 2.11-2.12
O 0.2739 0.7805 0.2259  2 Pd 2.07-2.16, 1 Np 2.08
O 0.7545 0.8889 0.4553  1 Np 2.09, 2 Pd 2.09-2.13
O 0.7545 0.5665 0.1113  1 Np 2.09, 2 Pd 2.09-2.13
O 0.2741 0.7743 0.5547  2 Pd 2.07-2.16, 1 Np 2.08
O 0.7627 0.8820 0.7775  1 Np 2.08, 2 Pd 2.11-2.12
O 0.2739 0.4453 0.2195  2 Pd 2.08-2.16, 1 Np 2.08
O 0.7544 0.5447 0.4334  1 Np 2.09, 2 Pd 2.09-2.13
O 0.7626 0.2223 0.1044  1 Np 2.08, 2 Pd 2.11-2.12

=====

# 6
Entry from the Alexandria database: a geometry-optimized NpPd3O8 structure (GGA-PBE).

Calculated values
Final energy, eV/atom: -6.694
Uncorrected formation energy, eV/atom: -1.0119
Space-group type: P6_3mc, No. 186

a b c (Å): 6.2312 6.2312 9.6209
angles (deg): 90.00 90.00 120.00
Closest atoms and distances in Å follow each position.
Element x y z (fractional)
Np 0.6667 0.3333 0.9869  6 O 2.11-2.15
Np 0.3333 0.6667 0.4869  6 O 2.11-2.15
Pd 0.8336 0.6672 0.7124  6 O 2.03-2.10
Pd 0.3328 0.1664 0.7124  6 O 2.03-2.10
Pd 0.8336 0.1664 0.7124  6 O 2.03-2.10
Pd 0.1664 0.8336 0.2124  6 O 2.03-2.10
Pd 0.6672 0.8336 0.2124  6 O 2.03-2.10
Pd 0.1664 0.3328 0.2124  6 O 2.03-2.10
O 0.8356 0.6712 0.0974  2 Pd 2.10, 1 Np 2.11
O 0.5170 0.4830 0.8390  2 Pd 2.10, 1 Np 2.15
O 0.6667 0.3333 0.6135  3 Pd 2.04
O 0.0000 0.0000 0.8105  3 Pd 2.03
O 0.0000 0.0000 0.3105  3 Pd 2.03
O 0.3288 0.1644 0.0974  2 Pd 2.10, 1 Np 2.11
O 0.9660 0.4830 0.8390  2 Pd 2.10, 1 Np 2.15
O 0.5170 0.0340 0.8390  2 Pd 2.10, 1 Np 2.15
O 0.1644 0.8356 0.5974  2 Pd 2.10, 1 Np 2.11
O 0.8356 0.1644 0.0974  2 Pd 2.10, 1 Np 2.11
O 0.4830 0.9660 0.3390  2 Pd 2.10, 1 Np 2.15
O 0.0340 0.5170 0.3390  2 Pd 2.10, 1 Np 2.15
O 0.3333 0.6667 0.1134  3 Pd 2.04
O 0.6712 0.8356 0.5974  2 Pd 2.10, 1 Np 2.11
O 0.4830 0.5170 0.3390  2 Pd 2.10, 1 Np 2.15
O 0.1644 0.3288 0.5974  2 Pd 2.10, 1 Np 2.11

=====

# 7
Entry from the Alexandria database: a geometry-optimized NpPdO structure (GGA-PBE).

Calculated values
Final energy, eV/atom: -9.027
Uncorrected formation energy, eV/atom: -1.3294
Space-group type: I4/mmm, No. 139

a b c (Å): 3.1902 3.1902 10.2477
angles (deg): 98.95 98.95 90.00
Closest atoms and distances in Å follow each position.
Element x y z (fractional)
O 0.2919 0.2919 0.5837  5 Np 2.38-2.43
O 0.7081 0.7081 0.4163  5 Np 2.38-2.43
Np 0.1702 0.1702 0.3403  5 O 2.38-2.43
Np 0.8298 0.8298 0.6597  5 O 2.38-2.43
Pd 0.5664 0.5664 0.1327  1 Pd 2.65, 1 O 2.83
Pd 0.4336 0.4336 0.8673  1 Pd 2.65, 1 O 2.83

=====

# 8
Entry from the Alexandria database: a geometry-optimized NpPdO6 structure (GGA-PBE).

Calculated values
Final energy, eV/atom: -7.286
Uncorrected formation energy, eV/atom: -1.3007
Space-group type: R-3, No. 148

a b c (Å): 5.3513 5.3518 5.5221
angles (deg): 60.99 61.00 59.99
Closest atoms and distances in Å follow each position.
Element x y z (fractional)
Np 0.0000 0.0000 0.0000  6 O 1.99
Pd 0.5000 0.5000 0.5000  6 O 1.99
O 0.1540 0.3471 0.7492  1 Pd 1.99, 1 Np 1.99
O 0.7490 0.1541 0.7498  1 Pd 1.99, 1 Np 1.99
O 0.6532 0.2506 0.2507  1 Pd 1.99, 1 Np 1.99
O 0.2510 0.8459 0.2502  1 Pd 1.99, 1 Np 1.99
O 0.8460 0.6529 0.2508  1 Pd 1.99, 1 Np 1.99
O 0.3468 0.7494 0.7493  1 Pd 1.99, 1 Np 1.99

=====

# 9
Entry from the Alexandria database: a geometry-optimized NpPdO structure (GGA-PBE).

Calculated values
Final energy, eV/atom: -8.517
Uncorrected formation energy, eV/atom: -0.8202
Space-group type: I4mm, No. 107

a b c (Å): 3.9985 3.9985 4.5151
angles (deg): 116.28 116.28 90.00
Closest atoms and distances in Å follow each position.
Element x y z (fractional)
Np 0.5788 0.5788 0.1575  1 O 1.92
Pd 0.9656 0.9656 0.9311  1 O 2.39
O 0.3057 0.3057 0.6114  1 Np 1.92

=====

# 10
Entry from the Alexandria database: a geometry-optimized RbNpPdO6 structure (GGA-PBE).

Calculated values
Final energy, eV/atom: -7.113
Uncorrected formation energy, eV/atom: -1.6855
Space-group type: P-31c, No. 163

a b c (Å): 5.3763 5.3763 12.9464
angles (deg): 90.00 90.00 120.00
Closest atoms and distances in Å follow each position.
Element x y z (fractional)
Rb 0.0000 0.0000 0.0000  6 O 2.90
Rb 0.0000 0.0000 0.5000  6 O 2.90
Np 0.6667 0.3333 0.2500  6 O 2.03
Np 0.3333 0.6667 0.7500  6 O 2.03
Pd 0.3333 0.6667 0.2500  6 O 2.04
Pd 0.6667 0.3333 0.7500  6 O 2.04
O 0.6324 0.6311 0.1640  1 Np 2.03, 1 Pd 2.04
O 0.9987 0.3676 0.1640  1 Np 2.03, 1 Pd 2.04
O 0.3676 0.9987 0.6640  1 Np 2.03, 1 Pd 2.04
O 0.0013 0.6324 0.8360  1 Np 2.03, 1 Pd 2.04
O 0.3689 0.3676 0.3360  1 Np 2.03, 1 Pd 2.04
O 0.9987 0.6311 0.3360  1 Np 2.03, 1 Pd 2.04
O 0.6311 0.9987 0.8360  1 Np 2.03, 1 Pd 2.04
O 0.6324 0.0013 0.3360  1 Np 2.03, 1 Pd 2.04
O 0.0013 0.3689 0.6640  1 Np 2.03, 1 Pd 2.04
O 0.3689 0.0013 0.1640  1 Np 2.03, 1 Pd 2.04
O 0.6311 0.6324 0.6640  1 Np 2.03, 1 Pd 2.04
O 0.3676 0.3689 0.8360  1 Np 2.03, 1 Pd 2.04